Entry from Alexandria: a relaxed Ce3SmZn4 crystal (PBE).

Cell lengths 5.128, 7.262, 10.254 Å; angles 90.00, 90.00, 90.00 degrees
Last column: magnetic moment on the atom in μB.
Fractional coordinates of all 16 atoms:
Zn 0.004 0.748 0.250  0.01
Zn 0.500 0.748 0.500  0.01
Zn 0.500 0.748 0.000  0.01
Zn 0.996 0.252 0.750  0.01
Zn 0.996 0.748 0.750  0.01
Zn 0.500 0.252 0.000  0.01
Zn 0.004 0.252 0.250  0.01
Zn 0.500 0.252 0.500  0.01
Ce 0.497 0.500 0.750  0.62
Ce 0.496 0.000 0.750  0.69
Ce 0.504 0.000 0.250  0.69
Ce 0.000 0.000 0.500  0.59
Ce 0.503 0.500 0.250  0.62
Ce 0.000 0.000 0.000  0.59
Sm 0.000 0.500 0.000  0.00
Sm 0.000 0.500 0.500  0.00

Summary:
**Calculated formation energy**: -0.205 eV per atom
**Space-group type**: Pmma (51)
**Size of the total moment**: 0.30 μB/atom
**Electronic total energy**: -3.657 eV/atom